A plane-wave DFT calculation with GGA-PBE was carried out for a geometry-optimized FeIrAu structure.

Unit cell a=6.0611 b=6.0611 c=6.0611 alpha=153.29 beta=153.29 gamma=38.13
Fractional coordinates of all 3 atoms:
1 Fe 0.0000 0.0000 0.0000
2 Ir 0.3590 0.3590 0.0000
3 Au 0.6705 0.6705 0.0000

Calculated values
Calculated volume (Å³ per cell): 44.9
E_form (meV per atom): 155
Raw total energy (eV/cell): -20.14